Crystalline Zr2TaOs at its relaxed geometry, computed with PBE.

Values from the calculation:
Symmetry: No. 10
Relative energy among the computed polymorphs: 0.158 eV/atom
Volume: 75 Å³/cell
VASP energy: -10.11 eV/atom
Energy relative to the elements: -0.3 eV per formula unit
Spin magnetization: 0.00 μB per formula unit

Lattice parameters (Å, degrees): 4.619 3.044 5.506 76.42 90.00 90.00
Positions (direct):
1 Os 0.500 0.250 0.250
2 Ta 0.500 0.750 0.750
3 Zr 0.000 0.030 0.009
4 Zr 0.000 0.470 0.491



Crystalline Ac2Sm3Pt4 at its relaxed geometry, computed with PBE.

Values from the calculation:
Symmetry: No. 14
Volume: 479 Å³/cell
VASP energy: -6.26 eV/atom
Energy relative to the elements: -9.8 eV per formula unit
Spin magnetization: 0.00 μB per formula unit

Lattice parameters (Å, degrees): 8.234 7.803 7.876 90.00 90.00 108.80
Positions (direct):
1 Ac 0.589 0.200 0.324
2 Ac 0.911 0.800 0.824
3 Ac 0.411 0.800 0.676
4 Ac 0.089 0.200 0.176
5 Sm 0.000 0.500 0.500
6 Sm 0.500 0.500 0.000
7 Sm 0.750 0.247 0.836
8 Sm 0.750 0.753 0.336
9 Sm 0.250 0.753 0.164
10 Sm 0.250 0.247 0.664
11 Pt 0.872 0.095 0.539
12 Pt 0.628 0.905 0.039
13 Pt 0.128 0.905 0.461
14 Pt 0.372 0.095 0.961
15 Pt 0.876 0.501 0.133
16 Pt 0.624 0.499 0.633
17 Pt 0.124 0.499 0.867
18 Pt 0.376 0.501 0.367



Crystalline FeCoAs2 at its relaxed geometry, computed with PBE.

Values from the calculation:
Symmetry: No. 65
Relative energy among the computed polymorphs: 0.159 eV/atom
Volume: 53 Å³/cell
VASP energy: -6.13 eV/atom
Energy relative to the elements: 0.4 eV per formula unit
Spin magnetization: 2.51 μB per formula unit

Lattice parameters (Å, degrees): 6.677 4.214 2.992 90.00 63.38 129.28
Last column: magnetic moment on the atom in μB.
Positions (direct):
1 As 0.000 0.000 0.000  -0.01
2 As 0.500 0.000 0.500  -0.01
3 Co 0.000 0.500 0.500  0.79
4 Fe 0.500 0.500 0.000  1.82



Crystalline Y3Zn2Cu3 at its relaxed geometry, computed with PBE.

Values from the calculation:
Symmetry: No. 62
Volume: 639 Å³/cell
VASP energy: -4.55 eV/atom
Energy relative to the elements: -2.2 eV per formula unit
Spin magnetization: 0.00 μB per formula unit

Lattice parameters (Å, degrees): 5.528 7.613 15.193 90.00 90.00 90.00
Positions (direct):
1 Y 0.143 0.458 0.395
2 Y 0.643 0.042 0.605
3 Y 0.857 0.542 0.895
4 Y 0.357 0.958 0.105
5 Y 0.857 0.542 0.605
6 Y 0.357 0.958 0.395
7 Y 0.143 0.458 0.105
8 Y 0.643 0.042 0.895
9 Y 0.620 0.322 0.250
10 Y 0.120 0.178 0.750
11 Y 0.380 0.678 0.750
12 Y 0.880 0.822 0.250
13 Zn 0.863 0.113 0.395
14 Zn 0.363 0.387 0.605
15 Zn 0.137 0.887 0.895
16 Zn 0.637 0.613 0.105
17 Zn 0.137 0.887 0.605
18 Zn 0.637 0.613 0.395
19 Zn 0.863 0.113 0.105
20 Zn 0.363 0.387 0.895
21 Cu 0.113 0.177 0.250
22 Cu 0.613 0.323 0.750
23 Cu 0.887 0.823 0.750
24 Cu 0.387 0.677 0.250
25 Cu 0.593 0.320 0.465
26 Cu 0.093 0.180 0.535
27 Cu 0.407 0.680 0.965
28 Cu 0.907 0.820 0.035
29 Cu 0.407 0.680 0.535
30 Cu 0.907 0.820 0.465
31 Cu 0.593 0.320 0.035
32 Cu 0.093 0.180 0.965



Crystalline Sc5Bi5H2 at its relaxed geometry, computed with PBE.

Values from the calculation:
Symmetry: No. 12
Volume: 262 Å³/cell
VASP energy: -5.28 eV/atom
Spin magnetization: 0.00 μB per formula unit

Lattice parameters (Å, degrees): 4.070 6.147 11.120 93.96 90.00 109.33
Positions (direct):
1 Sc 0.083 0.167 0.315
2 Sc 0.630 0.260 0.814
3 Sc 0.370 0.740 0.186
4 Sc 0.917 0.833 0.685
5 Sc 0.000 0.000 0.000
6 Bi 0.500 0.000 0.500
7 Bi 0.662 0.324 0.110
8 Bi 0.798 0.596 0.384
9 Bi 0.202 0.404 0.616
10 Bi 0.338 0.676 0.890
11 H 0.054 0.108 0.828
12 H 0.946 0.892 0.172



Crystalline ZnCu2SiSe4 at its relaxed geometry, computed with PBE.

Values from the calculation:
Symmetry: No. 31
Volume: 349 Å³/cell
E_form (uncorrected): -3.21 eV/f.u.
VASP energy: -4.00 eV/atom
Spin magnetization: 0.00 μB per formula unit

Lattice parameters (Å, degrees): 6.514 6.842 7.840 90.00 90.00 90.00
Positions (direct):
1 Zn 0.655 0.349 0.500
2 Zn 0.155 0.651 0.000
3 Cu 0.164 0.175 0.748
4 Cu 0.164 0.175 0.252
5 Cu 0.664 0.825 0.752
6 Cu 0.664 0.825 0.248
7 Si 0.155 0.669 0.500
8 Si 0.655 0.331 0.000
9 Se 0.039 0.349 0.500
10 Se 0.539 0.651 0.000
11 Se 0.513 0.683 0.500
12 Se 0.013 0.317 0.000
13 Se 0.535 0.162 0.760
14 Se 0.535 0.162 0.240
15 Se 0.035 0.838 0.740
16 Se 0.035 0.838 0.260



Crystalline BC2 at its relaxed geometry, computed with PBE.

Values from the calculation:
Symmetry: No. 164
Relative energy among the computed polymorphs: 0.003 eV/atom
Volume: 95 Å³/cell
VASP energy: -8.13 eV/atom
Energy relative to the elements: 0.7 eV per formula unit
Spin magnetization: 0.00 μB per formula unit

Lattice parameters (Å, degrees): 2.607 2.607 16.208 90.00 90.00 120.00
Positions (direct):
1 B 0.000 0.000 0.784
2 B 0.667 0.333 0.672
3 B 0.667 0.333 0.369
4 B 0.333 0.667 0.257
5 C 0.667 0.333 0.774
6 C 0.333 0.667 0.630
7 C 0.000 0.000 0.411
8 C 0.000 0.000 0.503
9 C 0.333 0.667 0.538
10 C 0.667 0.333 0.268
11 C 0.000 0.000 0.021
12 C 0.333 0.667 0.021



Crystalline ReSeBr2 at its relaxed geometry, computed with PBE.

Values from the calculation:
Symmetry: No. 123
Relative energy among the computed polymorphs: 0.817 eV/atom
Volume: 86 Å³/cell
E_form (uncorrected): 3.44 eV/f.u.
VASP energy: -3.96 eV/atom
Spin magnetization: 0.00 μB per formula unit

Lattice parameters (Å, degrees): 3.093 3.092 9.039 90.00 90.00 90.00
Positions (direct):
1 Br 0.000 0.000 0.073
2 Br 0.000 0.000 0.427
3 Re 0.500 0.500 0.250
4 Se 0.500 0.500 0.750